1.
! LaMo2Pt (SCAN, PBEsol geometry); values from VASP
! ΔE_f: 0.209 eV per atom
&SYSTEM
  ibrav = 0, nat = 4, ntyp = 3
/
ATOMIC_SPECIES
Pt 195.08 Pt.upf
Mo 95.94 Mo.upf
La 138.91 La.upf
CELL_PARAMETERS angstrom
-0.537 3.257 -0.311
-3.375 -0.889 -3.486
-1.293 -1.413 5.102
ATOMIC_POSITIONS crystal
Pt 0.484 0.484 0.968
Mo 0.727 0.227 0.454
Mo 0.029 0.029 0.058
La 0.260 0.760 0.520

2.
! LaTc2MoPt (SCAN, PBEsol geometry); values from VASP
! ΔE_f: 1.089 eV per atom
&SYSTEM
  ibrav = 0, nat = 5, ntyp = 4
/
ATOMIC_SPECIES
Tc 98.00 Tc.upf
La 138.91 La.upf
Pt 195.08 Pt.upf
Mo 95.94 Mo.upf
CELL_PARAMETERS angstrom
-0.494 -4.585 -1.228
-0.423 -1.187 4.602
-4.727 0.585 -0.284
ATOMIC_POSITIONS crystal
Tc 0.000 0.000 0.500
Tc 0.000 0.500 0.000
La 0.500 0.500 0.500
Pt 0.000 0.000 0.000
Mo 0.500 0.000 0.000

3.
! RbLaMo2 (SCAN, PBEsol geometry); values from VASP
! ΔE_f: 1.900 eV per atom
&SYSTEM
  ibrav = 0, nat = 4, ntyp = 3
/
ATOMIC_SPECIES
Rb 85.47 Rb.upf
La 138.91 La.upf
Mo 95.94 Mo.upf
CELL_PARAMETERS angstrom
-3.882 -2.756 -1.797
0.661 -4.931 -1.070
-2.169 -3.552 2.928
ATOMIC_POSITIONS crystal
Rb 0.000 0.000 0.000
La 0.500 0.500 0.500
Mo 0.250 0.250 0.250
Mo 0.750 0.750 0.750

4.
! RbLaMo3 (SCAN, PBEsol geometry); values from VASP
! ΔE_f: 2.561 eV per atom
&SYSTEM
  ibrav = 0, nat = 5, ntyp = 3
/
ATOMIC_SPECIES
Mo 95.94 Mo.upf
Rb 85.47 Rb.upf
La 138.91 La.upf
CELL_PARAMETERS angstrom
-0.831 -4.781 -0.789
-0.051 -0.792 4.852
-4.845 0.828 0.085
ATOMIC_POSITIONS crystal
Mo 0.500 0.000 0.000
Mo 0.000 0.500 0.000
Mo 0.000 0.000 0.500
Rb 0.500 0.500 0.500
La 0.000 0.000 0.000

5.
! LaMoRh (SCAN, PBEsol geometry); values from VASP
! ΔE_f: 1.019 eV per atom
&SYSTEM
  ibrav = 0, nat = 3, ntyp = 3
/
ATOMIC_SPECIES
La 138.91 La.upf
Rh 102.91 Rh.upf
Mo 95.94 Mo.upf
CELL_PARAMETERS angstrom
-3.298 1.892 2.345
-3.593 -2.398 1.136
-0.656 -1.156 4.265
ATOMIC_POSITIONS crystal
La 0.250 0.250 0.250
Rh 0.500 0.500 0.500
Mo 0.000 0.000 0.000

6.
! LaMo2Rh (SCAN, PBEsol geometry); values from VASP
! ΔE_f: 0.556 eV per atom
&SYSTEM
  ibrav = 0, nat = 4, ntyp = 3
/
ATOMIC_SPECIES
Rh 102.91 Rh.upf
Mo 95.94 Mo.upf
La 138.91 La.upf
CELL_PARAMETERS angstrom
-2.629 0.626 -0.763
1.228 -0.917 -4.987
-1.886 -4.220 3.041
ATOMIC_POSITIONS crystal
Rh 0.500 0.000 0.000
Mo 0.000 0.500 0.500
Mo 0.000 0.000 0.500
La 0.500 0.500 0.000

7.
! LaMo2Rh (SCAN, PBEsol geometry); values from VASP
! ΔE_f: 0.133 eV per atom
&SYSTEM
  ibrav = 0, nat = 4, ntyp = 3
/
ATOMIC_SPECIES
Mo 95.94 Mo.upf
La 138.91 La.upf
Rh 102.91 Rh.upf
CELL_PARAMETERS angstrom
-2.708 -0.474 1.579
-1.116 -1.709 -2.426
2.791 -6.043 2.972
ATOMIC_POSITIONS crystal
Mo 0.000 0.000 0.056
Mo 0.500 0.500 0.240
La 0.500 0.500 0.749
Rh 0.000 0.000 0.454

8.
! La3MoRu (SCAN, PBEsol geometry); values from VASP
! ΔE_f: 0.394 eV per atom
&SYSTEM
  ibrav = 0, nat = 5, ntyp = 3
/
ATOMIC_SPECIES
La 138.91 La.upf
Mo 95.94 Mo.upf
Ru 101.07 Ru.upf
CELL_PARAMETERS angstrom
-1.813 2.937 -4.082
-4.676 0.613 2.518
1.852 4.425 2.361
ATOMIC_POSITIONS crystal
La 0.000 0.500 0.000
La 0.000 0.000 0.500
La 0.500 0.000 0.000
Mo 0.500 0.500 0.500
Ru 0.000 0.000 0.000

9.
! LaMoS2 (SCAN, PBEsol geometry); values from VASP
! Raw formation energy: -867 meV/atom
&SYSTEM
  ibrav = 0, nat = 4, ntyp = 3
/
ATOMIC_SPECIES
S 32.06 S.upf
La 138.91 La.upf
Mo 95.94 Mo.upf
CELL_PARAMETERS angstrom
-0.928 0.568 4.517
2.915 -1.688 3.201
2.578 2.901 2.555
ATOMIC_POSITIONS crystal
S 0.750 0.750 0.750
S 0.250 0.250 0.250
La 0.500 0.500 0.500
Mo 0.000 0.000 0.000

10.
! LaMoS2 (SCAN, PBEsol geometry); values from VASP
! Raw formation energy: -804 meV/atom
&SYSTEM
  ibrav = 0, nat = 4, ntyp = 3
/
ATOMIC_SPECIES
Mo 95.94 Mo.upf
S 32.06 S.upf
La 138.91 La.upf
CELL_PARAMETERS angstrom
4.228 0.000 0.000
2.114 3.662 0.000
2.114 1.221 7.653
ATOMIC_POSITIONS crystal
Mo 0.000 0.000 0.000
S 0.896 0.896 0.311
S 0.104 0.104 0.689
La 0.500 0.500 0.500

11.
! LaSbMo2 (SCAN, PBEsol geometry); values from VASP
! Raw formation energy: 453 meV/atom
&SYSTEM
  ibrav = 0, nat = 4, ntyp = 3
/
ATOMIC_SPECIES
La 138.91 La.upf
Mo 95.94 Mo.upf
Sb 121.76 Sb.upf
CELL_PARAMETERS angstrom
-0.481 -2.960 -3.524
4.597 0.660 1.856
1.763 -3.392 2.608
ATOMIC_POSITIONS crystal
La 0.750 0.500 0.750
Mo 0.000 0.000 0.000
Mo 0.250 0.500 0.250
Sb 0.500 0.000 0.500

12.
! LaSbMo (SCAN, PBEsol geometry); values from VASP
! Raw formation energy: 159 meV/atom
&SYSTEM
  ibrav = 0, nat = 3, ntyp = 3
/
ATOMIC_SPECIES
Sb 121.76 Sb.upf
La 138.91 La.upf
Mo 95.94 Mo.upf
CELL_PARAMETERS angstrom
4.710 0.000 0.000
2.355 4.079 0.000
2.355 1.360 3.845
ATOMIC_POSITIONS crystal
Sb 0.000 0.000 0.000
La 0.500 0.500 0.500
Mo 0.750 0.750 0.750

13.
! LaSbMo2 (SCAN, PBEsol geometry); values from VASP
! Raw formation energy: 351 meV/atom
&SYSTEM
  ibrav = 0, nat = 4, ntyp = 3
/
ATOMIC_SPECIES
Mo 95.94 Mo.upf
Sb 121.76 Sb.upf
La 138.91 La.upf
CELL_PARAMETERS angstrom
-1.766 -0.152 -3.441
-3.395 -2.897 1.871
-2.665 4.016 1.382
ATOMIC_POSITIONS crystal
Mo 0.578 0.000 0.716
Mo 0.422 0.000 0.284
Sb 0.500 0.500 0.000
La 0.000 0.500 0.500

14.
! LaTcSb2Mo (SCAN, PBEsol geometry); values from VASP
! Raw formation energy: 317 meV/atom
&SYSTEM
  ibrav = 0, nat = 5, ntyp = 4
/
ATOMIC_SPECIES
La 138.91 La.upf
Tc 98.00 Tc.upf
Sb 121.76 Sb.upf
Mo 95.94 Mo.upf
CELL_PARAMETERS angstrom
4.615 0.000 0.000
0.000 5.222 0.000
0.000 0.000 5.222
ATOMIC_POSITIONS crystal
La 0.500 0.500 0.500
Tc 0.500 0.000 0.000
Sb 0.000 0.500 0.000
Sb 0.000 0.000 0.500
Mo 0.000 0.000 0.000

15.
! LaScMo2 (SCAN, PBEsol geometry); values from VASP
! ΔE_f: 0.643 eV per atom
&SYSTEM
  ibrav = 0, nat = 4, ntyp = 3
/
ATOMIC_SPECIES
La 138.91 La.upf
Mo 95.94 Mo.upf
Sc 44.96 Sc.upf
CELL_PARAMETERS angstrom
3.345 0.000 0.000
0.000 4.608 0.000
0.000 0.000 4.923
ATOMIC_POSITIONS crystal
La 0.000 0.500 0.500
Mo 0.000 0.000 0.000
Mo 0.500 0.000 0.500
Sc 0.500 0.500 0.000

16.
! LaSc2Mo (SCAN, PBEsol geometry); values from VASP
! ΔE_f: 0.331 eV per atom
&SYSTEM
  ibrav = 0, nat = 4, ntyp = 3
/
ATOMIC_SPECIES
Sc 44.96 Sc.upf
Mo 95.94 Mo.upf
La 138.91 La.upf
CELL_PARAMETERS angstrom
4.617 0.000 0.000
-2.308 4.664 0.019
0.000 2.268 4.021
ATOMIC_POSITIONS crystal
Sc 0.250 0.500 0.250
Sc 0.750 0.500 0.750
Mo 0.000 0.000 0.000
La 0.500 0.000 0.500

17.
! LaScMo2 (SCAN, PBEsol geometry); values from VASP
! ΔE_f: 0.648 eV per atom
&SYSTEM
  ibrav = 0, nat = 4, ntyp = 3
/
ATOMIC_SPECIES
Sc 44.96 Sc.upf
Mo 95.94 Mo.upf
La 138.91 La.upf
CELL_PARAMETERS angstrom
3.389 0.000 0.000
0.000 4.740 0.000
0.000 0.000 4.740
ATOMIC_POSITIONS crystal
Sc 0.500 0.500 0.500
Mo 0.000 0.500 0.000
Mo 0.000 0.000 0.500
La 0.500 0.000 0.000

18.
! LaSc2Mo (SCAN, PBEsol geometry); values from VASP
! ΔE_f: 0.361 eV per atom
&SYSTEM
  ibrav = 0, nat = 4, ntyp = 3
/
ATOMIC_SPECIES
La 138.91 La.upf
Sc 44.96 Sc.upf
Mo 95.94 Mo.upf
CELL_PARAMETERS angstrom
4.975 0.000 0.000
2.487 4.308 0.000
2.487 1.436 4.062
ATOMIC_POSITIONS crystal
La 0.500 0.500 0.500
Sc 0.250 0.250 0.250
Sc 0.000 0.000 0.000
Mo 0.750 0.750 0.750

19.
! La2ScZnMo (SCAN, PBEsol geometry); values from VASP
! ΔE_f: 1.220 eV per atom
&SYSTEM
  ibrav = 0, nat = 5, ntyp = 4
/
ATOMIC_SPECIES
Sc 44.96 Sc.upf
Mo 95.94 Mo.upf
La 138.91 La.upf
Zn 65.41 Zn.upf
CELL_PARAMETERS angstrom
-2.286 1.829 -3.924
-4.713 -1.948 1.837
-0.875 4.635 2.670
ATOMIC_POSITIONS crystal
Sc 0.000 0.000 0.000
Mo 0.500 0.500 0.500
La 0.000 0.000 0.500
La 0.000 0.500 0.000
Zn 0.500 0.000 0.000

20.
! La2MoSe (SCAN, PBEsol geometry); values from VASP
! Raw formation energy: -407 meV/atom
&SYSTEM
  ibrav = 0, nat = 4, ntyp = 3
/
ATOMIC_SPECIES
La 138.91 La.upf
Se 78.96 Se.upf
Mo 95.94 Mo.upf
CELL_PARAMETERS angstrom
3.883 0.000 0.000
-1.941 3.362 -0.033
0.000 -2.154 8.169
ATOMIC_POSITIONS crystal
La 0.250 0.499 0.250
La 0.750 0.501 0.750
Se 0.500 0.000 0.000
Mo 0.000 0.000 0.500

21.
! La2MoSe (SCAN, PBEsol geometry); values from VASP
! Raw formation energy: -440 meV/atom
&SYSTEM
  ibrav = 0, nat = 4, ntyp = 3
/
ATOMIC_SPECIES
La 138.91 La.upf
Se 78.96 Se.upf
Mo 95.94 Mo.upf
CELL_PARAMETERS angstrom
3.555 0.000 0.000
0.000 4.648 0.000
-1.778 -2.324 5.864
ATOMIC_POSITIONS crystal
La 0.006 0.506 0.012
La 0.771 0.771 0.541
Se 0.192 0.192 0.383
Mo 0.531 0.031 0.063

22.
! LaSiMo2 (SCAN, PBEsol geometry); values from VASP
! Raw formation energy: 362 meV/atom
&SYSTEM
  ibrav = 0, nat = 4, ntyp = 3
/
ATOMIC_SPECIES
Si 28.09 Si.upf
Mo 95.94 Mo.upf
La 138.91 La.upf
CELL_PARAMETERS angstrom
2.956 -0.018 0.000
-0.981 2.789 0.000
0.000 0.000 8.552
ATOMIC_POSITIONS crystal
Si 0.500 0.500 0.500
Mo 0.000 0.000 0.704
Mo 0.000 0.000 0.296
La 0.500 0.500 0.000

23.
! LaSiMo2 (SCAN, PBEsol geometry); values from VASP
! Raw formation energy: 783 meV/atom
&SYSTEM
  ibrav = 0, nat = 4, ntyp = 3
/
ATOMIC_SPECIES
Si 28.09 Si.upf
Mo 95.94 Mo.upf
La 138.91 La.upf
CELL_PARAMETERS angstrom
2.721 0.000 0.000
0.000 5.259 0.045
0.000 -1.875 4.914
ATOMIC_POSITIONS crystal
Si 0.500 0.000 0.000
Mo 0.000 0.500 0.000
Mo 0.000 0.000 0.500
La 0.500 0.500 0.500

24.
! LaSiMo2 (SCAN, PBEsol geometry); values from VASP
! Raw formation energy: -25 meV/atom
&SYSTEM
  ibrav = 0, nat = 4, ntyp = 3
/
ATOMIC_SPECIES
La 138.91 La.upf
Mo 95.94 Mo.upf
Si 28.09 Si.upf
CELL_PARAMETERS angstrom
-0.639 1.924 2.465
-2.615 1.051 -1.498
-3.912 -5.290 3.115
ATOMIC_POSITIONS crystal
La 0.500 0.500 0.747
Mo 0.000 0.000 0.064
Mo 0.500 0.500 0.250
Si 0.000 0.000 0.439

25.
! LaSi3Mo (SCAN, PBEsol geometry); values from VASP
! Raw formation energy: -86 meV/atom
&SYSTEM
  ibrav = 0, nat = 5, ntyp = 3
/
ATOMIC_SPECIES
Si 28.09 Si.upf
Mo 95.94 Mo.upf
La 138.91 La.upf
CELL_PARAMETERS angstrom
-3.156 -2.899 -1.887
2.311 -3.668 1.769
-2.574 0.261 3.903
ATOMIC_POSITIONS crystal
Si 0.000 0.500 0.000
Si 0.000 0.000 0.500
Si 0.500 0.000 0.000
Mo 0.000 0.000 0.000
La 0.500 0.500 0.500

26.
! LaSi2Mo (SCAN, PBEsol geometry); values from VASP
! Raw formation energy: 359 meV/atom
&SYSTEM
  ibrav = 0, nat = 4, ntyp = 3
/
ATOMIC_SPECIES
Mo 95.94 Mo.upf
La 138.91 La.upf
Si 28.09 Si.upf
CELL_PARAMETERS angstrom
4.364 0.000 0.000
0.000 4.082 0.000
0.000 0.000 4.082
ATOMIC_POSITIONS crystal
Mo 0.500 0.000 0.000
La 0.500 0.500 0.500
Si 0.000 0.000 0.500
Si 0.000 0.500 0.000

27.
! LaSiMo2 (SCAN, PBEsol geometry); values from VASP
! Raw formation energy: 155 meV/atom
&SYSTEM
  ibrav = 0, nat = 4, ntyp = 3
/
ATOMIC_SPECIES
Si 28.09 Si.upf
Mo 95.94 Mo.upf
La 138.91 La.upf
CELL_PARAMETERS angstrom
-2.306 -2.354 -0.099
3.121 -0.604 -3.458
2.486 -2.602 3.923
ATOMIC_POSITIONS crystal
Si 0.000 0.000 0.500
Mo 0.272 0.544 0.332
Mo 0.728 0.456 0.668
La 0.500 0.000 0.000

28.
! LaSiMo3 (SCAN, PBEsol geometry); values from VASP
! Raw formation energy: 783 meV/atom
&SYSTEM
  ibrav = 0, nat = 5, ntyp = 3
/
ATOMIC_SPECIES
Mo 95.94 Mo.upf
La 138.91 La.upf
Si 28.09 Si.upf
CELL_PARAMETERS angstrom
4.632 0.000 0.000
0.000 4.632 0.000
0.000 0.000 4.632
ATOMIC_POSITIONS crystal
Mo 0.000 0.000 0.500
Mo 0.500 0.000 0.000
Mo 0.000 0.500 0.000
La 0.500 0.500 0.500
Si 0.000 0.000 0.000

29.
! LaSiMoW2 (SCAN, PBEsol geometry); values from VASP
! Raw formation energy: 1129 meV/atom
&SYSTEM
  ibrav = 0, nat = 5, ntyp = 4
/
ATOMIC_SPECIES
W 183.84 W.upf
Mo 95.94 Mo.upf
Si 28.09 Si.upf
La 138.91 La.upf
CELL_PARAMETERS angstrom
4.708 0.000 0.000
0.000 4.792 0.000
0.000 0.000 4.792
ATOMIC_POSITIONS crystal
W 0.000 0.000 0.500
W 0.000 0.500 0.000
Mo 0.000 0.000 0.000
Si 0.500 0.000 0.000
La 0.500 0.500 0.500

30.
! SrLaMo2 (SCAN, PBEsol geometry); values from VASP
! ΔE_f: 1.296 eV per atom
&SYSTEM
  ibrav = 0, nat = 4, ntyp = 3
/
ATOMIC_SPECIES
Sr 87.62 Sr.upf
Mo 95.94 Mo.upf
La 138.91 La.upf
CELL_PARAMETERS angstrom
-1.774 2.468 -1.272
-0.776 -0.009 -3.203
-8.808 -3.899 0.451
ATOMIC_POSITIONS crystal
Sr 0.500 0.500 0.500
Mo 0.260 0.260 0.219
Mo 0.740 0.740 0.781
La 0.000 0.000 0.000